Material: Ba3CaBi
Method: DFT, PBE-GGA
State: relaxed

abc: 6.830 6.830 6.830
angles: 90.00 90.00 90.00
Fractional coordinates of all 5 atoms:
1 Ca 0.500 0.500 0.500
2 Bi 0.000 0.000 0.000
3 Ba 0.000 0.500 0.000
4 Ba 0.000 0.000 0.500
5 Ba 0.500 0.000 0.000

total moment	0.00	μB/f.u.
excess energy over the best structure of this formula in the dataset	0.000	eV per atom
energy of formation	-249	meV per atom
final energy	-2.580	eV/atom
volume	319	Å³ per cell